(1)
BaCa2Ir | PBE | relaxed

The density of states at the Fermi level is 10.28 states/eV per cell. For the energy of formation from the pure elements, the calculation gives -15 meV/atom. The relative energy among the computed polymorphs is 223.9 meV per atom.

CIF file:
```
data_BaCa2Ir
_chemical_formula_sum 'Ba3 Ca6 Ir3'
_cell_length_a 4.3626
_cell_length_b 4.3626
_cell_length_c 27.9693
_cell_angle_alpha 90.00
_cell_angle_beta 90.00
_cell_angle_gamma 120.00
_symmetry_space_group_name_H-M 'R -3 m'
_symmetry_Int_Tables_number 166
_symmetry_space_group_name_Hall '-R 3 2"'
loop_
_atom_site_label
_atom_site_type_symbol
_atom_site_fract_x
_atom_site_fract_y
_atom_site_fract_z
Ba1 Ba 0.0000 0.0000 0.0000
Ca1 Ca 0.0000 0.0000 0.2132
Ir1 Ir 0.0000 0.0000 0.5000
```

***

(2)
As2Cl | PBE | relaxed

The density of states at the Fermi level is 2.82 states/eV per cell. The calculation puts the uncorrected formation energy at 30.7 kJ/mol of atoms. The relative energy among the computed polymorphs is 589.5 meV per atom.

CIF file:
```
data_As2Cl
_chemical_formula_sum 'As2 Cl1'
_cell_length_a 4.3759
_cell_length_b 4.3759
_cell_length_c 4.6591
_cell_angle_alpha 90.00
_cell_angle_beta 90.00
_cell_angle_gamma 120.00
_symmetry_space_group_name_H-M 'P 6/m m m'
_symmetry_Int_Tables_number 191
_symmetry_space_group_name_Hall '-P 6 2'
loop_
_atom_site_label
_atom_site_type_symbol
_atom_site_fract_x
_atom_site_fract_y
_atom_site_fract_z
As1 As 0.3333 0.6667 0.0000
Cl1 Cl 0.0000 0.0000 0.5000
```

***

(3)
Ba3LiSi2 | PBE | relaxed

The density of states at the Fermi level is 28.13 states/eV per cell. The calculation puts the uncorrected formation energy at -15.1 kJ/mol of atoms.

CIF file:
```
data_Ba3LiSi2
_chemical_formula_sum 'Ba12 Li4 Si8'
_cell_length_a 8.215
_cell_length_b 11.383
_cell_length_c 10.532
_cell_angle_alpha 90.00
_cell_angle_beta 110.13
_cell_angle_gamma 90.00
_symmetry_space_group_name_H-M 'P 1 21/c 1'
_symmetry_Int_Tables_number 14
_symmetry_space_group_name_Hall '-P 2ybc'
loop_
_atom_site_label
_atom_site_type_symbol
_atom_site_fract_x
_atom_site_fract_y
_atom_site_fract_z
Ba1 Ba 0.205 0.224 0.315
Ba2 Ba 0.254 0.563 0.522
Ba3 Ba 0.292 0.521 0.117
Li1 Li 0.285 0.678 0.828
Si1 Si 0.039 0.540 0.775
Si2 Si 0.457 0.199 0.126
```

***

(4)
Nd3Ga3Ge2 | PBE | relaxed

The density of states at the Fermi level is 12.36 states/eV per cell. For the energy of formation from the pure elements, the calculation gives -697 meV/atom.

CIF file:
```
data_Nd3Ga3Ge2
_chemical_formula_sum 'Nd12 Ga12 Ge8'
_cell_length_a 4.164
_cell_length_b 11.384
_cell_length_c 15.923
_cell_angle_alpha 90.00
_cell_angle_beta 90.00
_cell_angle_gamma 90.00
_symmetry_space_group_name_H-M 'C m c m'
_symmetry_Int_Tables_number 63
_symmetry_space_group_name_Hall '-C 2c 2'
loop_
_atom_site_label
_atom_site_type_symbol
_atom_site_fract_x
_atom_site_fract_y
_atom_site_fract_z
Nd1 Nd 0.000 0.067 0.250
Nd2 Nd 0.000 0.355 0.091
Ga1 Ga 0.000 0.065 0.059
Ga2 Ga 0.000 0.196 0.750
Ge1 Ge 0.000 0.347 0.620
```

***

(5)
Nd2ZrCd | PBE | relaxed

The density of states at the Fermi level is 4.86 states/eV per cell. For the energy of formation from the pure elements, the calculation gives -64 meV/atom. The relative energy among the computed polymorphs is 0.0 meV per atom.

CIF file:
```
data_Nd2ZrCd
_chemical_formula_sum 'Nd2 Zr1 Cd1'
_cell_length_a 3.492
_cell_length_b 3.492
_cell_length_c 9.357
_cell_angle_alpha 90.00
_cell_angle_beta 90.00
_cell_angle_gamma 90.00
_symmetry_space_group_name_H-M 'P 4/m m m'
_symmetry_Int_Tables_number 123
_symmetry_space_group_name_Hall '-P 4 2'
loop_
_atom_site_label
_atom_site_type_symbol
_atom_site_fract_x
_atom_site_fract_y
_atom_site_fract_z
Nd1 Nd 0.000 0.000 0.247
Zr1 Zr 0.500 0.500 0.500
Cd1 Cd 0.500 0.500 0.000
```

***

(6)
Al2WCl | PBE | relaxed

The density of states at the Fermi level is 1.74 states/eV per cell. The calculation puts the uncorrected formation energy at -12.7 kJ/mol of atoms. The relative energy among the computed polymorphs is 0.0 meV per atom.

CIF file:
```
data_Al2WCl
_chemical_formula_sum 'Al2 W1 Cl1'
_cell_length_a 2.903
_cell_length_b 3.295
_cell_length_c 7.541
_cell_angle_alpha 90.00
_cell_angle_beta 90.00
_cell_angle_gamma 90.00
_symmetry_space_group_name_H-M 'P m m m'
_symmetry_Int_Tables_number 47
_symmetry_space_group_name_Hall '-P 2 2'
loop_
_atom_site_label
_atom_site_type_symbol
_atom_site_fract_x
_atom_site_fract_y
_atom_site_fract_z
Al1 Al 0.000 0.000 0.208
W1 W 0.500 0.500 0.000
Cl1 Cl 0.500 0.000 0.500
```

***

(7)
Rb2TlPb | PBE | relaxed

The density of states at the Fermi level is 18.39 states/eV per cell. For the energy of formation from the pure elements, the calculation gives 66 meV/atom. The relative energy among the computed polymorphs is 127.6 meV per atom.

CIF file:
```
data_Rb2TlPb
_chemical_formula_sum 'Rb8 Tl4 Pb4'
_cell_length_a 8.850
_cell_length_b 8.850
_cell_length_c 8.850
_cell_angle_alpha 90.00
_cell_angle_beta 90.00
_cell_angle_gamma 90.00
_symmetry_space_group_name_H-M 'F m -3 m'
_symmetry_Int_Tables_number 225
_symmetry_space_group_name_Hall '-F 4 2 3'
loop_
_atom_site_label
_atom_site_type_symbol
_atom_site_fract_x
_atom_site_fract_y
_atom_site_fract_z
Rb1 Rb 0.250 0.250 0.250
Tl1 Tl 0.000 0.000 0.000
Pb1 Pb 0.000 0.000 0.500
```

***

(8)
Zn4InPd5 | PBE | relaxed

The density of states at the Fermi level is 3.12 states/eV per cell. For the energy of formation from the pure elements, the calculation gives -535 meV/atom.

CIF file:
```
data_Zn4InPd5
_chemical_formula_sum 'Zn4 In1 Pd5'
_cell_length_a 3.098
_cell_length_b 3.098
_cell_length_c 15.764
_cell_angle_alpha 90.00
_cell_angle_beta 90.00
_cell_angle_gamma 90.00
_symmetry_space_group_name_H-M 'P 4/m m m'
_symmetry_Int_Tables_number 123
_symmetry_space_group_name_Hall '-P 4 2'
loop_
_atom_site_label
_atom_site_type_symbol
_atom_site_fract_x
_atom_site_fract_y
_atom_site_fract_z
Zn1 Zn 0.000 0.000 0.095
Zn2 Zn 0.000 0.000 0.286
In1 In 0.000 0.000 0.500
Pd1 Pd 0.500 0.500 0.000
Pd2 Pd 0.500 0.500 0.190
Pd3 Pd 0.500 0.500 0.383
```

***

(9)
NbZn2Br | PBE | relaxed

The density of states at the Fermi level is 12.31 states/eV per cell. The calculation puts the uncorrected formation energy at 46.8 kJ/mol of atoms. The relative energy among the computed polymorphs is 0.0 meV per atom.

CIF file:
```
data_NbZn2Br
_chemical_formula_sum 'Nb4 Zn8 Br4'
_cell_length_a 7.784
_cell_length_b 7.784
_cell_length_c 5.262
_cell_angle_alpha 90.00
_cell_angle_beta 90.00
_cell_angle_gamma 90.00
_symmetry_space_group_name_H-M 'I -4 2 d'
_symmetry_Int_Tables_number 122
_symmetry_space_group_name_Hall 'I -4 2bw'
loop_
_atom_site_label
_atom_site_type_symbol
_atom_site_fract_x
_atom_site_fract_y
_atom_site_fract_z
Nb1 Nb 0.000 0.000 0.000
Zn1 Zn 0.232 0.750 0.125
Br1 Br 0.000 0.000 0.500
```

***

(10)
LiCaAu | PBE | relaxed

The density of states at the Fermi level is 4.45 states/eV per cell. For the energy of formation from the pure elements, the calculation gives -148 meV/atom.

CIF file:
```
data_LiCaAu
_chemical_formula_sum 'Li4 Ca4 Au4'
_cell_length_a 6.863
_cell_length_b 6.863
_cell_length_c 6.863
_cell_angle_alpha 90.00
_cell_angle_beta 90.00
_cell_angle_gamma 90.00
_symmetry_space_group_name_H-M 'F -4 3 m'
_symmetry_Int_Tables_number 216
_symmetry_space_group_name_Hall 'F -4 2 3'
loop_
_atom_site_label
_atom_site_type_symbol
_atom_site_fract_x
_atom_site_fract_y
_atom_site_fract_z
Li1 Li 0.000 0.000 0.000
Ca1 Ca 0.250 0.250 0.750
Au1 Au 0.000 0.000 0.500
```